[1]
The following is a DFT calculation (PBE-GGA) of crystalline La2ZnRu at its relaxed geometry.

Calculated values
DFT formation energy (eV per formula unit): -0.65
VASP energy (eV/atom): -5.264

a = 4.113 Å, b = 4.113 Å, c = 8.172 Å
α = 75.49°, β = 75.49°, γ = 59.88°
Sites, in units of the cell vectors:
Ru  0.750  0.750  0.750
Zn  0.250  0.250  0.250
La  0.017  0.017  0.950
La  0.483  0.483  0.550



[2]
The following is a DFT calculation (PBE-GGA) of crystalline K2SeBr4 at its relaxed geometry.

Calculated values
Energy relative to the lowest polymorph listed for this composition (meV/atom): 0.0
VASP energy (eV/atom): -2.821
Formation energy (no corrections) (kJ per mole of atoms): -101.7

a = 7.644 Å, b = 7.644 Å, c = 6.980 Å
α = 123.20°, β = 123.20°, γ = 90.00°
Sites, in units of the cell vectors:
Br  0.257  0.743  0.000
Br  0.743  0.257  0.000
Br  0.743  0.743  0.000
Br  0.257  0.257  0.000
Se  0.500  0.500  0.000
K  0.250  0.750  0.500
K  0.750  0.250  0.500



[3]
The following is a DFT calculation (PBE-GGA) of crystalline PuTlBr3 at its relaxed geometry.

Calculated values
Energy relative to the lowest polymorph listed for this composition (meV/atom): 75.7
VASP energy (eV/atom): -5.456
Formation energy (no corrections) (kJ per mole of atoms): -107.4

a = 5.814 Å, b = 5.814 Å, c = 5.814 Å
α = 90.00°, β = 90.00°, γ = 90.00°
Last column: magnetic moment on the atom in μB.
Sites, in units of the cell vectors:
Tl  0.500  0.500  0.500  0.04
Pu  0.000  0.000  0.000  5.63
Br  0.000  0.500  0.000  -0.02
Br  0.000  0.000  0.500  -0.02
Br  0.500  0.000  0.000  -0.02



[4]
The following is a DFT calculation (PBE-GGA) of crystalline PmReAg2O6 at its relaxed geometry.

Calculated values
VASP energy (eV/atom): -6.803
Formation energy (no corrections) (kJ per mole of atoms): -148.3

a = 5.736 Å, b = 5.736 Å, c = 5.909 Å
α = 60.96°, β = 60.96°, γ = 60.00°
Sites, in units of the cell vectors:
O  0.100  0.438  0.825
O  0.195  0.995  0.278
O  0.995  0.532  0.278
O  0.438  0.637  0.825
O  0.637  0.100  0.825
O  0.532  0.195  0.277
Ag  0.559  0.559  0.324
Ag  0.074  0.074  0.779
Pm  0.816  0.816  0.552
Re  0.316  0.316  0.052



[5]
The following is a DFT calculation (PBE-GGA) of crystalline Ba2Bi5Pt3 at its relaxed geometry.

Calculated values
Energy relative to the lowest polymorph listed for this composition (meV/atom): 0.0
DFT formation energy (eV per formula unit): -5.20
VASP energy (eV/atom): -4.657

a = 4.864 Å, b = 8.016 Å, c = 14.628 Å
α = 90.00°, β = 99.57°, γ = 90.00°
Sites, in units of the cell vectors:
Pt  0.393  0.022  0.786
Pt  0.773  0.718  0.545
Pt  0.053  0.960  0.106
Pt  0.227  0.218  0.455
Pt  0.607  0.522  0.214
Pt  0.947  0.460  0.894
Bi  0.404  0.386  0.808
Bi  0.950  0.085  0.900
Bi  0.286  0.517  0.572
Bi  0.123  0.257  0.246
Bi  0.704  0.429  0.407
Bi  0.296  0.929  0.593
Bi  0.877  0.757  0.754
Bi  0.714  0.017  0.428
Bi  0.596  0.886  0.192
Bi  0.050  0.585  0.100
Ba  0.172  0.737  0.344
Ba  0.524  0.253  0.048
Ba  0.828  0.237  0.656
Ba  0.476  0.753  0.952



[6]
The following is a DFT calculation (PBE-GGA) of crystalline Hf2Sc2Bi at its relaxed geometry.

Calculated values
Energy relative to the lowest polymorph listed for this composition (meV/atom): 0.0
DFT formation energy (eV per formula unit): 0.04
VASP energy (eV/atom): -7.282

a = 7.637 Å, b = 7.637 Å, c = 4.207 Å
α = 90.00°, β = 90.00°, γ = 90.00°
Sites, in units of the cell vectors:
Sc  0.343  0.157  0.500
Sc  0.657  0.843  0.500
Sc  0.843  0.343  0.500
Sc  0.157  0.657  0.500
Hf  0.365  0.865  0.000
Hf  0.135  0.365  0.000
Hf  0.635  0.135  0.000
Hf  0.865  0.635  0.000
Bi  0.500  0.500  0.000
Bi  0.000  0.000  0.000



[7]
The following is a DFT calculation (PBE-GGA) of crystalline LiSn2Pt2 at its relaxed geometry.

Calculated values
Energy relative to the lowest polymorph listed for this composition (meV/atom): 194.0
DFT formation energy (eV per formula unit): -1.90
VASP energy (eV/atom): -4.780

a = 7.850 Å, b = 7.850 Å, c = 3.181 Å
α = 90.00°, β = 90.00°, γ = 90.00°
Sites, in units of the cell vectors:
Sn  0.344  0.844  0.000
Sn  0.656  0.156  0.000
Sn  0.156  0.344  0.000
Sn  0.844  0.656  0.000
Pt  0.141  0.641  0.500
Pt  0.359  0.141  0.500
Pt  0.859  0.359  0.500
Pt  0.641  0.859  0.500
Li  0.500  0.500  0.000
Li  0.000  0.000  0.000



[8]
The following is a DFT calculation (PBE-GGA) of crystalline Li3Pr2Sb2 at its relaxed geometry.

Calculated values
VASP energy (eV/atom): -4.051
Formation energy (no corrections) (kJ per mole of atoms): -66.3

a = 4.725 Å, b = 6.039 Å, c = 6.777 Å
α = 105.60°, β = 90.00°, γ = 113.03°
Sites, in units of the cell vectors:
Sb  0.151  0.302  0.244
Sb  0.849  0.698  0.756
Pr  0.853  0.707  0.240
Pr  0.147  0.293  0.760
Li  0.387  0.775  0.571
Li  0.500  0.000  0.000
Li  0.613  0.225  0.429



[9]
The following is a DFT calculation (PBE-GGA) of crystalline CeMgZnPt at its relaxed geometry.

Calculated values
DFT formation energy (eV per formula unit): -2.41
VASP energy (eV/atom): -4.314

a = 4.857 Å, b = 4.857 Å, c = 4.857 Å
α = 60.00°, β = 60.00°, γ = 60.00°
Last column: magnetic moment on the atom in μB.
Sites, in units of the cell vectors:
Zn  0.250  0.250  0.250  0.01
Pt  0.750  0.750  0.750  0.00
Mg  0.500  0.500  0.500  0.00
Ce  0.000  0.000  0.000  0.31



[10]
The following is a DFT calculation (PBE-GGA) of crystalline ZrInCu2 at its relaxed geometry.

Calculated values
DFT formation energy (eV per formula unit): -0.34
VASP energy (eV/atom): -4.954

a = 4.242 Å, b = 3.423 Å, c = 5.133 Å
α = 70.76°, β = 90.00°, γ = 90.00°
Sites, in units of the cell vectors:
In  0.000  0.474  0.428
Zr  0.500  0.774  0.825
Cu  0.000  0.196  0.983
Cu  0.500  0.056  0.264



[11]
The following is a DFT calculation (PBE-GGA) of crystalline SrAcGePt at its relaxed geometry.

Calculated values
DFT formation energy (eV per formula unit): -2.74
VASP energy (eV/atom): -4.798

a = 5.381 Å, b = 5.381 Å, c = 5.381 Å
α = 60.00°, β = 60.00°, γ = 60.00°
Sites, in units of the cell vectors:
Sr  0.750  0.750  0.750
Ge  0.500  0.500  0.500
Ac  0.250  0.250  0.250
Pt  0.000  0.000  0.000



[12]
The following is a DFT calculation (PBE-GGA) of crystalline Tl2GaBr3 at its relaxed geometry.

Calculated values
Energy relative to the lowest polymorph listed for this composition (meV/atom): 28.8
VASP energy (eV/atom): -2.845
Formation energy (no corrections) (kJ per mole of atoms): -69.1

a = 6.648 Å, b = 9.606 Å, c = 9.606 Å
α = 119.63°, β = 90.00°, γ = 90.00°
Sites, in units of the cell vectors:
Br  0.497  0.486  0.167
Br  0.497  0.167  0.486
Br  0.960  0.149  0.149
Br  0.997  0.514  0.833
Br  0.460  0.851  0.851
Br  0.997  0.833  0.514
Tl  0.997  0.167  0.497
Tl  0.497  0.503  0.833
Tl  0.497  0.833  0.503
Tl  0.997  0.497  0.167
Ga  0.010  0.837  0.837
Ga  0.510  0.163  0.163



[13]
The following is a DFT calculation (PBE-GGA) of crystalline Ac3SmHg4 at its relaxed geometry.

Calculated values
DFT formation energy (eV per formula unit): -3.72
VASP energy (eV/atom): -2.746

a = 3.979 Å, b = 3.979 Å, c = 15.956 Å
α = 90.00°, β = 90.00°, γ = 90.00°
Last column: magnetic moment on the atom in μB.
Sites, in units of the cell vectors:
Ac  0.500  0.500  0.241  0.11
Ac  0.500  0.500  0.759  0.11
Ac  0.500  0.500  0.500  0.09
Hg  0.000  0.000  0.892  0.01
Hg  0.000  0.000  0.108  0.01
Hg  0.000  0.000  0.628  0.01
Hg  0.000  0.000  0.372  0.01
Sm  0.500  0.500  0.000  0.15



[14]
The following is a DFT calculation (PBE-GGA) of crystalline SrZrPt2 at its relaxed geometry.

Calculated values
Energy relative to the lowest polymorph listed for this composition (meV/atom): 615.1
DFT formation energy (eV per formula unit): -1.18
VASP energy (eV/atom): -5.874

a = 4.822 Å, b = 4.822 Å, c = 4.822 Å
α = 60.00°, β = 60.00°, γ = 60.00°
Sites, in units of the cell vectors:
Sr  0.500  0.500  0.500
Pt  0.250  0.250  0.250
Pt  0.000  0.000  0.000
Zr  0.750  0.750  0.750



[15]
The following is a DFT calculation (PBE-GGA) of crystalline Pm2Y6ErTh at its relaxed geometry.

Calculated values
DFT formation energy (eV per formula unit): 1.47
VASP energy (eV/atom): -5.879

a = 9.798 Å, b = 8.748 Å, c = 8.748 Å
α = 117.06°, β = 94.99°, γ = 94.99°
Sites, in units of the cell vectors:
Pm  0.452  0.806  0.710
Pm  0.048  0.290  0.194
Pm  0.548  0.194  0.290
Pm  0.952  0.710  0.806
Y  0.617  0.493  0.701
Y  0.815  0.424  0.982
Y  0.883  0.299  0.507
Y  0.117  0.701  0.493
Y  0.685  0.018  0.576
Y  0.557  0.744  0.117
Y  0.383  0.507  0.299
Y  0.943  0.883  0.256
Y  0.315  0.982  0.424
Y  0.057  0.117  0.744
Y  0.185  0.576  0.018
Y  0.443  0.256  0.883
Er  0.750  0.595  0.405
Er  0.250  0.405  0.595
Th  0.750  0.019  0.981
Th  0.250  0.981  0.019



[16]
The following is a DFT calculation (PBE-GGA) of crystalline DyTm2Pb3 at its relaxed geometry.

Calculated values
DFT formation energy (eV per formula unit): -2.41
VASP energy (eV/atom): -4.514

a = 4.777 Å, b = 7.018 Å, c = 10.217 Å
α = 90.00°, β = 90.00°, γ = 90.00°
Sites, in units of the cell vectors:
Tm  0.000  0.409  0.711
Tm  0.000  0.909  0.289
Tm  0.500  0.658  0.500
Tm  0.500  0.158  0.500
Pb  0.000  0.908  0.608
Pb  0.500  0.681  0.159
Pb  0.500  0.637  0.841
Pb  0.000  0.408  0.392
Pb  0.500  0.181  0.841
Pb  0.500  0.137  0.159
Dy  0.000  0.409  0.060
Dy  0.000  0.909  0.940



[17]
The following is a DFT calculation (PBE-GGA) of crystalline K2Y at its relaxed geometry.

Calculated values
DFT formation energy (eV per formula unit): 1.66
VASP energy (eV/atom): -2.332

a = 11.930 Å, b = 11.930 Å, c = 7.034 Å
α = 90.00°, β = 90.00°, γ = 162.37°
Last column: magnetic moment on the atom in μB.
Sites, in units of the cell vectors:
K  0.545  0.455  0.250  0.01
K  0.787  0.213  0.750  0.00
K  0.455  0.545  0.750  0.01
K  0.213  0.787  0.250  0.00
Y  0.121  0.879  0.750  0.33
Y  0.879  0.121  0.250  0.33



[18]
The following is a DFT calculation (PBE-GGA) of crystalline HfSbAs at its relaxed geometry.

Calculated values
Energy relative to the lowest polymorph listed for this composition (meV/atom): 400.1
VASP energy (eV/atom): -6.426
Formation energy (no corrections) (kJ per mole of atoms): -17.8

a = 3.838 Å, b = 9.032 Å, c = 9.032 Å
α = 90.00°, β = 90.00°, γ = 90.00°
Sites, in units of the cell vectors:
Hf  0.500  0.303  0.744
Hf  0.000  0.256  0.303
Hf  0.500  0.697  0.256
Hf  0.000  0.744  0.697
Sb  0.500  0.222  0.053
Sb  0.500  0.778  0.947
Sb  0.000  0.053  0.778
Sb  0.000  0.947  0.222
As  0.000  0.519  0.171
As  0.500  0.829  0.519
As  0.500  0.171  0.481
As  0.000  0.481  0.829



[19]
The following is a DFT calculation (PBE-GGA) of crystalline K2OsRh at its relaxed geometry.

Calculated values
Energy relative to the lowest polymorph listed for this composition (meV/atom): 573.5
DFT formation energy (eV per formula unit): 4.62
VASP energy (eV/atom): -4.038

a = 6.148 Å, b = 6.148 Å, c = 2.749 Å
α = 90.00°, β = 90.00°, γ = 127.75°
Last column: magnetic moment on the atom in μB.
Sites, in units of the cell vectors:
K  0.000  0.000  0.000  0.00
K  0.500  0.500  0.000  0.00
Rh  0.000  0.500  0.500  0.17
Os  0.500  0.000  0.500  0.25



[20]
The following is a DFT calculation (PBE-GGA) of crystalline SmErPuCd at its relaxed geometry.

Calculated values
DFT formation energy (eV per formula unit): 0.30
VASP energy (eV/atom): -6.057

a = 5.422 Å, b = 5.422 Å, c = 5.422 Å
α = 60.00°, β = 60.00°, γ = 60.00°
Last column: magnetic moment on the atom in μB.
Sites, in units of the cell vectors:
Sm  0.250  0.250  0.250  0.19
Cd  0.500  0.500  0.500  -0.02
Er  0.750  0.750  0.750  0.30
Pu  0.000  0.000  0.000  5.65



[21]
The following is a DFT calculation (PBE-GGA) of crystalline TaCoSe2N at its relaxed geometry.

Calculated values
Energy relative to the lowest polymorph listed for this composition (meV/atom): 77.0
VASP energy (eV/atom): -6.368
Formation energy (no corrections) (kJ per mole of atoms): 46.5

a = 4.868 Å, b = 4.868 Å, c = 3.362 Å
α = 90.00°, β = 90.00°, γ = 90.00°
Last column: magnetic moment on the atom in μB.
Sites, in units of the cell vectors:
N  0.000  0.000  0.500  0.01
Co  0.000  0.000  0.000  0.08
Se  0.000  0.500  0.000  -0.05
Se  0.500  0.000  0.000  -0.05
Ta  0.500  0.500  0.500  0.77



[22]
The following is a DFT calculation (PBE-GGA) of crystalline K2TlMo at its relaxed geometry.

Calculated values
Energy relative to the lowest polymorph listed for this composition (meV/atom): 364.5
DFT formation energy (eV per formula unit): 4.50
VASP energy (eV/atom): -2.722

a = 5.906 Å, b = 5.906 Å, c = 5.906 Å
α = 60.00°, β = 60.00°, γ = 60.00°
Last column: magnetic moment on the atom in μB.
Sites, in units of the cell vectors:
K  0.750  0.750  0.750  -0.01
K  0.250  0.250  0.250  -0.01
Tl  0.500  0.500  0.500  -0.18
Mo  0.000  0.000  0.000  3.59



[23]
The following is a DFT calculation (PBE-GGA) of crystalline NdZrCuAg at its relaxed geometry.

Calculated values
DFT formation energy (eV per formula unit): 0.02
VASP energy (eV/atom): -5.060

a = 4.995 Å, b = 4.995 Å, c = 4.995 Å
α = 60.00°, β = 60.00°, γ = 60.00°
Last column: magnetic moment on the atom in μB.
Sites, in units of the cell vectors:
Cu  0.500  0.500  0.500  0.05
Zr  0.250  0.250  0.250  0.51
Ag  0.000  0.000  0.000  0.04
Nd  0.750  0.750  0.750  0.16



[24]
The following is a DFT calculation (PBE-GGA) of crystalline Te2OsAu at its relaxed geometry.

Calculated values
Energy relative to the lowest polymorph listed for this composition (meV/atom): 727.3
VASP energy (eV/atom): -4.293
Formation energy (no corrections) (kJ per mole of atoms): 87.3

a = 5.557 Å, b = 5.557 Å, c = 5.557 Å
α = 135.63°, β = 135.63°, γ = 64.55°
Sites, in units of the cell vectors:
Os  0.750  0.250  0.500
Au  0.500  0.500  0.000
Te  0.250  0.750  0.500
Te  0.000  0.000  0.000



[25]
The following is a DFT calculation (PBE-GGA) of crystalline K2SbF2 at its relaxed geometry.

Calculated values
VASP energy (eV/atom): -3.561
Formation energy (no corrections) (kJ per mole of atoms): -149.5

a = 8.802 Å, b = 8.802 Å, c = 3.042 Å
α = 90.00°, β = 90.00°, γ = 90.00°
Sites, in units of the cell vectors:
K  0.376  0.876  0.000
K  0.624  0.124  0.000
K  0.876  0.624  0.000
K  0.124  0.376  0.000
F  0.123  0.623  0.500
F  0.877  0.377  0.500
F  0.623  0.877  0.500
F  0.377  0.123  0.500
Sb  0.000  0.000  0.000
Sb  0.500  0.500  0.000